A plane-wave DFT calculation with PBE-GGA was carried out for a relaxed Ca2Zn3Ag5 crystal.

Unit cell a=10.481 b=13.675 c=5.760 alpha=90.00 beta=90.00 gamma=90.00
Space group Ibam (No. 72)
Unique sites:
Ca (0.220, 0.153, 0.000) (multiplicity 8)
Zn (0.000, 0.500, 0.250) (multiplicity 4)
Zn (0.082, 0.154, 0.500) (multiplicity 8)
Ag (0.000, 0.000, 0.250) (multiplicity 4)
Ag (0.000, 0.305, 0.250) (multiplicity 8)
Ag (0.194, 0.425, 0.000) (multiplicity 8)

Values from the calculation:
final energy	-2.403	eV per atom
excess energy over the best structure of this formula in the dataset	0	meV/atom
ΔE_f	-0.1948	eV per atom